[1]
A relaxed Er6TlSe2S3 crystal. Source: Alexandria via LeMat-Bulk, functional PBE.

Cell lengths 3.908, 8.217, 9.001 Å; angles 103.52, 102.54, 90.00 degrees
Sites, in units of the cell vectors:
Er 0.328 0.929 0.656
Er 0.661 0.595 0.322
Er 0.672 0.071 0.344
Er 0.997 0.271 0.994
Er 0.003 0.729 0.006
Er 0.339 0.405 0.678
Tl 0.500 0.000 0.000
Se 0.830 0.662 0.661
Se 0.170 0.338 0.339
S 0.500 0.500 0.000
S 0.832 0.170 0.664
S 0.168 0.830 0.336

Output
- Total energy: -5.659 eV per atom
- Symmetry: No. 12
- Formation energy without anion corrections: -1.567 eV/atom
- Crystal system: monoclinic
- Volume: 273.9 Å³ per cell
- DOS at the Fermi energy: 5.8 states/eV per cell



[2]
A relaxed CaTe2Rh crystal. Source: Alexandria via LeMat-Bulk, functional PBE.

Cell lengths 4.079, 5.217, 5.258 Å; angles 73.86, 90.00, 90.00 degrees
Sites, in units of the cell vectors:
Ca 0.500 0.250 0.250
Te 0.000 0.947 0.948
Te 0.000 0.553 0.552
Rh 0.500 0.750 0.750

Output
- Total energy: -4.563 eV per atom
- Energy above the most stable polymorph in this dataset: 160 meV/atom
- Symmetry: No. 10
- Formation energy without anion corrections: -0.654 eV/atom
- Crystal system: monoclinic
- Volume: 107.5 Å³ per cell
- DOS at the Fermi energy: 1.3 states/eV per cell



[3]
A relaxed Li3Ni crystal. Source: Alexandria via LeMat-Bulk, functional PBE.

Cell lengths 9.371, 9.371, 9.371 Å; angles 16.31, 16.31, 16.31 degrees
Sites, in units of the cell vectors:
Ni 0.000 0.000 0.000
Li 0.739 0.739 0.739
Li 0.500 0.500 0.500
Li 0.261 0.261 0.261

Output
- Total energy: -2.817 eV per atom
- Energy relative to the elements: 0.26 eV/f.u.
- Symmetry: No. 166
- Crystal system: trigonal
- Volume: 56.6 Å³ per cell
- DOS at the Fermi energy: 2.6 states/eV per cell



[4]
A relaxed La12Sn3C5 crystal. Source: Alexandria via LeMat-Bulk, functional PBE.

Cell lengths 14.601, 14.601, 14.601 Å; angles 109.47, 109.47, 109.47 degrees
Sites, in units of the cell vectors:
Sn 0.750 0.375 0.125
Sn 0.875 0.750 0.125
Sn 0.375 0.750 0.625
Sn 0.250 0.125 0.375
Sn 0.875 0.125 0.250
Sn 0.375 0.625 0.250
Sn 0.625 0.375 0.750
Sn 0.125 0.875 0.750
Sn 0.750 0.875 0.625
Sn 0.625 0.250 0.375
Sn 0.125 0.250 0.875
Sn 0.250 0.625 0.875
C 0.125 0.375 0.250
C 0.000 0.500 0.000
C 0.000 0.000 0.000
C 0.375 0.250 0.125
C 0.500 0.000 0.500
C 0.500 0.500 0.000
C 0.125 0.750 0.375
C 0.750 0.125 0.875
C 0.750 0.625 0.375
C 0.375 0.125 0.750
C 0.625 0.875 0.250
C 0.500 0.500 0.500
C 0.500 0.000 0.000
C 0.000 0.000 0.500
C 0.250 0.375 0.625
C 0.250 0.875 0.125
C 0.000 0.500 0.500
C 0.875 0.250 0.625
C 0.625 0.750 0.875
C 0.875 0.625 0.750
La 0.701 0.114 0.018
La 0.317 0.518 0.404
La 0.982 0.386 0.299
La 0.518 0.201 0.114
La 0.587 0.701 0.683
La 0.982 0.596 0.183
La 0.317 0.799 0.413
La 0.096 0.913 0.114
La 0.596 0.982 0.683
La 0.701 0.587 0.183
La 0.799 0.482 0.386
La 0.817 0.904 0.018
La 0.114 0.701 0.518
La 0.386 0.404 0.087
La 0.087 0.904 0.386
La 0.413 0.114 0.596
La 0.087 0.183 0.201
La 0.482 0.683 0.096
La 0.817 0.913 0.299
La 0.114 0.413 0.096
La 0.386 0.982 0.799
La 0.596 0.614 0.413
La 0.904 0.817 0.518
La 0.799 0.317 0.913
La 0.404 0.386 0.587
La 0.096 0.183 0.482
La 0.201 0.683 0.087
La 0.183 0.087 0.701
La 0.614 0.018 0.201
La 0.886 0.587 0.904
La 0.518 0.317 0.904
La 0.587 0.886 0.404
La 0.913 0.817 0.799
La 0.913 0.096 0.614
La 0.886 0.299 0.482
La 0.183 0.096 0.982
La 0.614 0.596 0.913
La 0.404 0.018 0.317
La 0.299 0.413 0.817
La 0.201 0.518 0.614
La 0.904 0.087 0.886
La 0.683 0.201 0.587
La 0.482 0.799 0.886
La 0.018 0.404 0.817
La 0.413 0.299 0.317
La 0.018 0.614 0.701
La 0.683 0.482 0.596
La 0.299 0.886 0.982

Output
- Total energy: -6.082 eV per atom
- Energy relative to the elements: -4.39 eV/f.u.
- Symmetry: No. 230
- Crystal system: cubic
- Volume: 2396.1 Å³ per cell
- DOS at the Fermi energy: 67.2 states/eV per cell



> Which value of volume does entry 4 give?

2396.1 Å³ per cell



> The highest DOS at the Fermi energy belongs to which entry?

La12Sn3C5